First-principles (GGA-PBEsol) data for a relaxed KNa3Hf crystal, as listed in the Alexandria database.

Energy of formation from the pure elements ... 1.105 eV per atom
Fermi-level density of states ... 9.5 states/eV/f.u.
M_tot ... 0.755 μB/atom
VASP energy ... -2.06 eV per atom

a = 6.2600 Å, b = 6.2600 Å, c = 6.2600 Å
α = 90.00°, β = 90.00°, γ = 90.00°
Last column: nearest neighbours and their distance in Å.
Space group Pm-3m (No. 221)
Unique sites:
K1 0.0000 0.0000 0.0000 (multiplicity 1)  12 Na 4.43
Na1 0.0000 0.5000 0.5000 (multiplicity 3)  2 Hf 3.13
Hf1 0.5000 0.5000 0.5000 (multiplicity 1)  6 Na 3.13


First-principles (GGA-PBEsol) data for a relaxed KNaHf2O crystal, as listed in the Alexandria database.

Formation energy from raw total energies ... -297 meV per atom
Fermi-level density of states ... 4.8 states/eV/f.u.
M_tot ... 0.000 μB/atom
VASP energy ... -6.05 eV per atom

a = 4.2836 Å, b = 4.2836 Å, c = 6.3889 Å
α = 90.00°, β = 90.00°, γ = 90.00°
Last column: nearest neighbours and their distance in Å.
Space group P4/mmm (No. 123)
Unique sites:
K1 0.0000 0.0000 0.0000 (multiplicity 1)  4 Na 3.03
Na1 0.5000 0.5000 0.0000 (multiplicity 1)  4 K 3.03, 2 O 3.19
Hf1 0.0000 0.5000 0.5000 (multiplicity 2)  2 O 2.14
O1 0.5000 0.5000 0.5000 (multiplicity 1)  4 Hf 2.14


First-principles (GGA-PBEsol) data for a relaxed KNa2HfSn crystal, as listed in the Alexandria database.

Energy of formation from the pure elements ... 0.477 eV per atom
Fermi-level density of states ... 3.8 states/eV/f.u.
M_tot ... 0.106 μB/atom
VASP energy ... -3.26 eV per atom

a = 5.8889 Å, b = 5.8889 Å, c = 5.5410 Å
α = 90.00°, β = 90.00°, γ = 90.00°
Last column: nearest neighbours and their distance in Å.
Space group P4/mmm (No. 123)
Unique sites:
K1 0.0000 0.0000 0.0000 (multiplicity 1)  8 Na 4.04, 4 Hf 4.16
Na1 0.0000 0.5000 0.5000 (multiplicity 2)  2 Sn 2.94
Hf1 0.5000 0.5000 0.0000 (multiplicity 1)  2 Sn 2.77
Sn1 0.5000 0.5000 0.5000 (multiplicity 1)  2 Hf 2.77, 4 Na 2.94